Below is crystalline BaInAg3 at its relaxed geometry, with properties calculated at the PBE-GGA level.

CIF file:
```
data_BaInAg3
_symmetry_space_group_name_H-M 'P 1'
_symmetry_Int_Tables_number 1
_symmetry_space_group_name_Hall 'P 1'
_cell_length_a 6.220
_cell_length_b 6.220
_cell_length_c 6.220
_cell_angle_alpha 90.00
_cell_angle_beta 90.00
_cell_angle_gamma 90.00
loop_
_atom_site_label
_atom_site_type_symbol
_atom_site_fract_x
_atom_site_fract_y
_atom_site_fract_z
Ba1 Ba 0.000 0.000 0.000
Ag1 Ag 0.000 0.500 0.000
Ag2 Ag 0.000 0.000 0.500
Ag3 Ag 0.500 0.000 0.000
In1 In 0.500 0.500 0.500
```

Polymorph energy (0 for the lowest one) = 987 meV per atom

***

Below is crystalline Ba2In5Ag4 at its relaxed geometry, with properties calculated at the PBE-GGA level.

CIF file:
```
data_Ba2In5Ag4
_symmetry_space_group_name_H-M 'P 1'
_symmetry_Int_Tables_number 1
_symmetry_space_group_name_Hall 'P 1'
_cell_length_a 6.272
_cell_length_b 7.541
_cell_length_c 7.541
_cell_angle_alpha 79.43
_cell_angle_beta 65.43
_cell_angle_gamma 65.43
loop_
_atom_site_label
_atom_site_type_symbol
_atom_site_fract_x
_atom_site_fract_y
_atom_site_fract_z
Ba1 Ba 0.282 0.718 0.718
Ba2 Ba 0.718 0.282 0.282
In1 In 0.250 0.195 0.805
In2 In 0.750 0.805 0.195
In3 In 0.000 0.500 0.500
In4 In 0.750 0.195 0.805
In5 In 0.250 0.805 0.195
Ag1 Ag 0.249 0.094 0.407
Ag2 Ag 0.751 0.906 0.593
Ag3 Ag 0.751 0.593 0.906
Ag4 Ag 0.249 0.407 0.094
```

Polymorph energy (0 for the lowest one) = 24 meV per atom

***

Below is crystalline Ba3In5Ag6 at its relaxed geometry, with properties calculated at the PBE-GGA level.

CIF file:
```
data_Ba3In5Ag6
_symmetry_space_group_name_H-M 'P 1'
_symmetry_Int_Tables_number 1
_symmetry_space_group_name_Hall 'P 1'
_cell_length_a 4.897
_cell_length_b 10.720
_cell_length_c 14.398
_cell_angle_alpha 90.00
_cell_angle_beta 90.00
_cell_angle_gamma 90.00
loop_
_atom_site_label
_atom_site_type_symbol
_atom_site_fract_x
_atom_site_fract_y
_atom_site_fract_z
Ba1 Ba 0.000 0.269 0.693
Ba2 Ba 0.500 0.731 0.193
Ba3 Ba 0.500 0.731 0.807
Ba4 Ba 0.000 0.215 0.000
Ba5 Ba 0.500 0.785 0.500
Ba6 Ba 0.000 0.269 0.307
In1 In 0.000 0.506 0.872
In2 In 0.000 0.923 0.679
In3 In 0.000 0.728 0.000
In4 In 0.500 0.494 0.628
In5 In 0.500 0.272 0.500
In6 In 0.000 0.506 0.128
In7 In 0.500 0.494 0.372
In8 In 0.000 0.923 0.321
In9 In 0.500 0.077 0.821
In10 In 0.500 0.077 0.179
Ag1 Ag 0.000 0.946 0.881
Ag2 Ag 0.500 0.054 0.619
Ag3 Ag 0.500 0.358 0.845
Ag4 Ag 0.500 0.528 0.000
Ag5 Ag 0.000 0.472 0.500
Ag6 Ag 0.000 0.642 0.655
Ag7 Ag 0.000 0.642 0.345
Ag8 Ag 0.500 0.940 0.000
Ag9 Ag 0.000 0.946 0.119
Ag10 Ag 0.500 0.358 0.155
Ag11 Ag 0.000 0.060 0.500
Ag12 Ag 0.500 0.054 0.381
```

***

Values of ΔE_f, in order: 779 -229 -281, all in meV per atom.